Material: K3Hg2Cl8
Method: DFT, GGA-PBE
State: relaxed

Computed properties:
density of states at the Fermi level: 1.04 states/eV per atom
electronic total energy: -2.5320 eV per atom
V: 429.8 Å³/f.u.
formation energy without anion corrections: -1.0959 eV per atom

extended XYZ file:
```
13
Lattice="-2.1621 4.2436 -5.6480 -4.8463 -2.6022 -4.9319 -9.1883 3.7608 1.5110" Properties=species:S:1:pos:R:3 pbc="T T T"
K 0.0000 0.0000 0.0000
K -11.1331 3.5759 -7.5475
K -5.0636 1.8263 -1.5215
Hg -6.0951 1.7616 -6.0073
Hg -10.1016 3.6407 -3.0617
Cl -13.4167 4.6469 -5.8687
Cl -2.7800 0.7553 -3.2003
Cl -6.8874 0.0631 -4.3326
Cl -5.4166 3.8140 -4.7249
Cl -8.0720 2.3882 -7.4272
Cl -10.7801 1.5883 -4.3441
Cl -9.3093 5.3392 -4.7364
Cl -8.1247 3.0140 -1.6418
```

Material: KHg3Cl7
Method: DFT, GGA-PBE
State: relaxed

Computed properties:
density of states at the Fermi level: 0.00 states/eV per atom
electronic total energy: -2.1952 eV per atom
V: 353.3 Å³/f.u.
formation energy without anion corrections: -0.8380 eV per atom

extended XYZ file:
```
11
Lattice="-4.6741 -4.8926 -3.0467 0.8688 -3.2353 5.6858 -4.9443 4.9018 2.5679" Properties=species:S:1:pos:R:3 pbc="T T T"
K -4.3748 -1.6131 2.6035
Hg -4.8769 2.4572 1.1665
Hg 0.4344 -1.6177 2.8429
Hg -4.7415 -2.4481 -1.6454
Cl -7.4350 -2.3485 3.7391
Cl -5.3873 -5.0337 2.3539
Cl -3.2155 -3.5120 -0.1963
Cl -5.5341 0.2858 5.4032
Cl -4.8092 0.0046 -0.2394
Cl -3.3622 1.8075 2.8531
Cl -1.3146 -0.8777 1.4679
```

Material: K4HgCl
Method: DFT, GGA-PBE
State: relaxed

Computed properties:
density of states at the Fermi level: 0.47 states/eV per atom
electronic total energy: -1.3384 eV per atom
V: 352.2 Å³/f.u.
formation energy without anion corrections: -0.2486 eV per atom

extended XYZ file:
```
6
Lattice="0.0000 5.6053 5.6053 5.6053 0.0000 5.6053 5.6053 5.6053 0.0000" Properties=species:S:1:pos:R:3 pbc="T T T"
K 4.2125 6.9982 6.9982
K 6.9982 6.9982 4.2125
K 6.9982 4.2125 6.9982
K 4.2125 4.2125 4.2125
Hg 0.0000 0.0000 0.0000
Cl 8.4080 8.4080 8.4080
```

Material: K2HgCl
Method: DFT, GGA-PBE
State: relaxed

Computed properties:
excess energy over the best structure of this formula in the dataset: 0.008 eV per atom
density of states at the Fermi level: 0.56 states/eV per atom
electronic total energy: -2.0780 eV per atom
V: 151.5 Å³/f.u.
formation energy without anion corrections: -0.9922 eV per atom

extended XYZ file:
```
4
Lattice="-2.4838 -3.4296 -1.0537 1.1993 -4.0169 1.2116 -5.1008 -1.5098 7.9016" Properties=species:S:1:pos:R:3 pbc="T T T"
K -4.1197 -1.7139 6.2535
K -1.4056 -2.2787 1.6946
Hg -3.1990 -4.4768 4.0404
Cl -5.9544 -6.4746 8.0023
```

Material: K4HgCl6
Method: DFT, GGA-PBE
State: relaxed

Computed properties:
density of states at the Fermi level: 0.00 states/eV per atom
electronic total energy: -3.0229 eV per atom
V: 334.4 Å³/f.u.
formation energy without anion corrections: -1.5891 eV per atom

extended XYZ file:
```
22
Lattice="-5.1257 -6.7319 -2.2103 6.3815 -5.5649 2.1878 -3.0893 -0.3440 8.1741" Properties=species:S:1:pos:R:3 pbc="T T T"
K -1.8407 -3.3004 1.5096
K -4.0081 -7.3761 1.6491
K 2.3369 -5.2328 1.8871
K -2.0030 -3.3322 6.1249
K 0.1695 -9.3086 2.0267
K -4.1704 -7.4079 6.2645
K 2.1745 -5.2646 6.5024
K 0.0071 -9.3404 6.6420
Hg -0.9168 -6.3204 4.0758
Hg 0.0000 0.0000 0.0000
Cl -3.4545 -5.0529 -0.8579
Cl 1.3783 -2.1521 0.9540
Cl -0.7055 -6.3778 1.3567
Cl -6.5617 -6.9871 3.7958
Cl -3.3246 -5.0550 3.8691
Cl 0.3419 -3.9009 4.1297
Cl -2.1755 -8.7399 4.0219
Cl 1.4910 -7.5857 4.2825
Cl 4.7281 -5.6536 4.3557
Cl -1.1281 -6.2629 6.7949
Cl -3.2119 -10.4887 7.1976
Cl 1.6209 -7.5879 9.0095
```

Material: K2HgCl
Method: DFT, GGA-PBE
State: relaxed

Computed properties:
excess energy over the best structure of this formula in the dataset: 0.128 eV per atom
density of states at the Fermi level: 0.55 states/eV per atom
electronic total energy: -1.9584 eV per atom
V: 173.6 Å³/f.u.
formation energy without anion corrections: -0.8726 eV per atom

extended XYZ file:
```
4
Lattice="-2.6070 -3.8460 4.9802 5.5454 -1.0566 3.8109 -4.2208 4.9151 -2.1018" Properties=species:S:1:pos:R:3 pbc="T T T"
K 2.7864 -4.6490 8.3362
K 1.6213 -2.7050 4.8505
Hg 1.3969 0.7036 3.0523
Cl -2.6793 -0.6911 3.6370
```

Material: K2HgCl
Method: DFT, GGA-PBE
State: relaxed

Computed properties:
excess energy over the best structure of this formula in the dataset: 0.379 eV per atom
density of states at the Fermi level: 1.11 states/eV per atom
electronic total energy: -1.7074 eV per atom
V: 146.9 Å³/f.u.
formation energy without anion corrections: -0.6215 eV per atom

extended XYZ file:
```
4
Lattice="5.9220 0.0000 0.0000 2.9610 5.1286 0.0000 2.9610 1.7095 4.8353" Properties=species:S:1:pos:R:3 pbc="T T T"
K 0.0000 0.0000 0.0000
K 2.9610 1.7095 1.2088
Hg 8.8831 5.1286 3.6265
Cl 5.9220 3.4191 2.4177
```

Material: K2Hg2Cl
Method: DFT, GGA-PBE
State: relaxed

Computed properties:
excess energy over the best structure of this formula in the dataset: 0.000 eV per atom
density of states at the Fermi level: 0.66 states/eV per atom
electronic total energy: -1.6612 eV per atom
V: 206.3 Å³/f.u.
formation energy without anion corrections: -0.7322 eV per atom

extended XYZ file:
```
10
Lattice="8.4899 0.0000 0.0000 0.0000 8.4899 0.0000 0.0000 0.0000 5.7235" Properties=species:S:1:pos:R:3 pbc="T T T"
K 2.6367 6.8816 0.0000
K 6.8816 5.8532 0.0000
K 5.8532 1.6083 0.0000
K 1.6083 2.6367 0.0000
Hg 1.0852 5.3301 2.8618
Hg 5.3301 7.4047 2.8618
Hg 7.4047 3.1598 2.8618
Hg 3.1598 1.0852 2.8618
Cl 0.0000 0.0000 0.0000
Cl 4.2449 4.2449 0.0000
```

Material: KHg6Cl12
Method: DFT, GGA-PBE
State: relaxed

Computed properties:
density of states at the Fermi level: 0.17 states/eV per atom
electronic total energy: -1.9001 eV per atom
V: 686.1 Å³/f.u.
formation energy without anion corrections: -0.5808 eV per atom

extended XYZ file:
```
19
Lattice="-4.1783 -9.3602 -2.7927 3.8862 5.7201 -8.0653 6.1835 -0.2879 8.6343" Properties=species:S:1:pos:R:3 pbc="T T T"
K 0.0000 0.0000 0.0000
Hg -0.3586 -5.3651 -1.8808
Hg 4.4223 -1.1791 3.3916
Hg 3.3624 1.5930 -4.3136
Hg 1.4691 -2.7489 -5.6152
Hg 6.2500 1.4370 -0.3428
Hg 2.5291 -5.5210 2.0900
Cl -0.3103 -8.0526 1.0169
Cl 2.1307 -5.2784 -2.1921
Cl 5.4218 -2.3969 1.4373
Cl 1.1993 -3.4394 1.6431
Cl 0.4696 -1.5311 -3.6609
Cl 3.7607 1.3504 -0.0315
Cl 7.1292 1.6988 3.5018
Cl 2.0182 0.4617 -7.8542
Cl 6.2017 4.1245 -3.2406
Cl -1.2378 -5.6269 -5.7254
Cl 3.8732 -4.3897 5.6305
Cl 4.6922 -0.4887 -3.8668
```

Material: K2HgCl
Method: DFT, GGA-PBE
State: relaxed

Computed properties:
excess energy over the best structure of this formula in the dataset: 0.000 eV per atom
density of states at the Fermi level: 0.46 states/eV per atom
electronic total energy: -2.0863 eV per atom
V: 132.3 Å³/f.u.
formation energy without anion corrections: -1.0004 eV per atom

extended XYZ file:
```
4
Lattice="-2.2089 -3.0495 -1.0513 1.7716 -2.2126 2.6959 -5.9646 2.3143 5.8191" Properties=species:S:1:pos:R:3 pbc="T T T"
K -0.2029 0.0787 0.1979
K -2.7794 1.0784 2.7116
Hg -4.6921 -0.8954 5.1866
Cl -1.7098 -2.0525 2.2771
```

Material: K3HgCl6
Method: DFT, GGA-PBE
State: relaxed

Computed properties:
density of states at the Fermi level: 0.65 states/eV per atom
electronic total energy: -2.7505 eV per atom
V: 344.2 Å³/f.u.
formation energy without anion corrections: -1.2831 eV per atom

extended XYZ file:
```
20
Lattice="-3.4237 2.7249 -7.6709 -2.6549 -8.2748 -1.5710 -7.5594 1.7987 4.1963" Properties=species:S:1:pos:R:3 pbc="T T T"
K -9.6100 -5.0744 -1.5872
K -8.4033 -2.9554 -6.4242
K -2.9685 -3.8916 -2.4454
K -10.6695 0.1404 -2.6003
K -5.2348 -0.7958 1.3786
K -4.0281 1.3231 -3.4584
Hg 0.0000 0.0000 0.0000
Hg -6.8190 -1.8756 -2.5228
Cl -4.0269 -6.8074 -3.2956
Cl -8.1130 -6.1528 1.0473
Cl -7.4547 -4.1766 -3.6708
Cl -5.5774 -3.3125 -7.9181
Cl -9.0172 -2.0192 -1.0517
Cl -5.4633 -3.1678 -0.6496
Cl -8.1748 -0.5834 -4.3960
Cl -4.6209 -1.7321 -3.9940
Cl -8.0607 -0.4387 2.8724
Cl -6.1833 0.4254 -1.3748
Cl -5.5250 2.4016 -6.0930
Cl -9.6111 3.0561 -1.7501
```

Material: K2HgCl
Method: DFT, GGA-PBE
State: relaxed

Computed properties:
excess energy over the best structure of this formula in the dataset: 0.018 eV per atom
density of states at the Fermi level: 0.42 states/eV per atom
electronic total energy: -2.0681 eV per atom
V: 150.9 Å³/f.u.
formation energy without anion corrections: -0.9823 eV per atom

extended XYZ file:
```
4
Lattice="9.4823 0.5910 -0.1313 7.3894 5.9716 0.1313 -8.3257 -3.5645 2.8736" Properties=species:S:1:pos:R:3 pbc="T T T"
K 16.3730 6.3686 0.0000
K 3.6474 -0.2929 1.3711
Hg 4.6341 3.1881 1.5025
Cl 9.1991 3.5782 0.0000
```